VASP calculation (PBE) on In2HgMo after structural relaxation.

Results
total magnetization	0.77	μB per cell
space group	No. 166
E_form	0.37	eV/atom

Cell: 9.801 9.801 9.801 Å, 18.81 18.81 18.81°
Atoms (fractional coordinates):
In 0.244 0.244 0.244
In 0.756 0.756 0.756
Hg 0.000 0.000 0.000
Mo 0.500 0.500 0.500